(1)
# HfTiB4

HfTiB4 after structural relaxation (PBE-GGA, Alexandria via LeMat-Bulk).

Calculated values
Its raw total energy is -8.45 eV/atom.

Unit cell a=3.0940 b=3.0940 c=6.7110 alpha=90.00 beta=90.00 gamma=120.00
Fractional positions:
1 Ti 0.0000 0.0000 0.5000
2 B 0.3333 0.6667 0.2626
3 B 0.6667 0.3333 0.2626
4 B 0.6667 0.3333 0.7374
5 B 0.3333 0.6667 0.7374
6 Hf 0.0000 0.0000 0.0000



(2)
# Sc2NiSbI

Sc2NiSbI after structural relaxation (PBE-GGA, Alexandria via LeMat-Bulk).

Calculated values
The value obtained for the uncorrected formation energy is 1.0519 eV per atom.

Unit cell a=5.2282 b=5.7529 c=5.2282 alpha=90.00 beta=90.00 gamma=90.00
Site moments in Bohr magnetons follow the coordinates.
Fractional positions:
1 Sc 0.0000 0.0000 0.5000  -0.03
2 Sc 0.5000 0.0000 0.0000  -0.04
3 Ni 0.5000 0.5000 0.5000  0.48
4 Sb 0.0000 0.5000 0.0000  0.00
5 I 0.0000 0.0000 0.0000  0.00



(3)
# CsNpCrBr6

CsNpCrBr6 after structural relaxation (PBE-GGA, Alexandria via LeMat-Bulk).

Calculated values
The value obtained for the uncorrected formation energy is -1.2031 eV per atom.

Unit cell a=7.0654 b=7.2477 c=8.2054 alpha=88.63 beta=92.52 gamma=63.15
Site moments in Bohr magnetons follow the coordinates.
Fractional positions:
1 Br 0.3813 0.6434 0.3110  -0.01
2 Br 0.6384 0.4017 0.6960  -0.01
3 Br 0.9942 0.3663 0.2736  0.04
4 Br 0.9897 0.6395 0.6724  0.00
5 Br 0.6391 0.9749 0.3227  0.00
6 Br 0.3834 0.0013 0.7300  0.04
7 Cs 0.9821 0.9854 0.9948  0.00
8 Np 0.3288 0.3197 0.4980  -3.93
9 Cr 0.6629 0.6679 0.5013  3.63



(4)
# CePm6Pr3

CePm6Pr3 after structural relaxation (PBE-GGA, Alexandria via LeMat-Bulk).

Calculated values
Its raw total energy is -4.63 eV/atom.

Unit cell a=10.0786 b=10.0786 c=7.0258 alpha=44.17 beta=44.17 gamma=60.00
Site moments in Bohr magnetons follow the coordinates.
Fractional positions:
1 Pm 0.0750 0.3999 0.8001  0.02
2 Pm 0.7250 0.0750 0.8001  0.02
3 Pm 0.8999 0.5804 0.3001  0.02
4 Pm 0.5804 0.2196 0.3001  0.02
5 Pm 0.2196 0.8999 0.3001  0.02
6 Pm 0.3999 0.7250 0.8001  0.02
7 Pr 0.4000 0.4000 0.8000  -0.01
8 Pr 0.1418 0.1418 0.5745  0.03
9 Pr 0.6583 0.6583 0.0251  0.03
10 Ce 0.9000 0.9000 0.2999  0.41



(5)
# TmTaTi

TmTaTi after structural relaxation (PBE-GGA, Alexandria via LeMat-Bulk).

Calculated values
Its raw total energy is -7.77 eV/atom.

Unit cell a=3.3222 b=3.0609 c=14.6821 alpha=90.00 beta=90.00 gamma=122.87
Fractional positions:
1 Ti 0.2328 0.4657 0.5000
2 Ti 0.6166 0.2331 0.0000
3 Ta 0.6465 0.2930 0.3526
4 Ta 0.6465 0.2930 0.6474
5 Tm 0.2621 0.5242 0.1753
6 Tm 0.2621 0.5242 0.8247



Sequential M_tot output: 0.000 0.063 0.003 0.079 0.000 μB per atom